Record 1
The following is a DFT calculation (PBE) of crystalline Sr2ZrPt at its relaxed geometry.

a b c (Å): 5.4699 5.4699 5.4699
angles (deg): 60.00 60.00 60.00
Last column: nearest neighbours and their distance in Å.
Element x y z (fractional)
Zr (0.0000, 0.0000, 0.0000)  8 Sr 3.35
Sr (0.2500, 0.2500, 0.2500)  4 Zr 3.35, 4 Pt 3.35
Pt (0.5000, 0.5000, 0.5000)  8 Sr 3.35
Sr (0.7500, 0.7500, 0.7500)  4 Zr 3.35, 4 Pt 3.35

Output
crystal system = cubic
M_tot = 3.7 Bohr magnetons per cell
formation energy from the elements = 0.326 eV/atom
final energy = -4.16 eV/atom
symmetry = Fm-3m, No. 225
N(E_F) = 5.53 states/eV/cell


Record 2
The following is a DFT calculation (PBE) of crystalline Sr2ZrPt at its relaxed geometry.

a b c (Å): 3.6585 3.6585 9.7471
angles (deg): 90.00 90.00 90.00
Last column: nearest neighbours and their distance in Å.
Element x y z (fractional)
Zr (0.0000, 0.0000, 0.5846)  4 Pt 2.76
Sr (0.5000, 0.5000, 0.3047)  4 Sr 3.66, 1 Pt 3.68, 4 Zr 3.76
Pt (0.5000, 0.5000, 0.6826)  4 Zr 2.76
Sr (0.0000, 0.0000, 0.9281)  1 Zr 3.35, 4 Pt 3.52, 4 Sr 3.66

Output
crystal system = tetragonal
M_tot = 0.0 Bohr magnetons per cell
formation energy from the elements = -0.338 eV/atom
final energy = -4.83 eV/atom
symmetry = P4mm, No. 99
N(E_F) = 5.51 states/eV/cell


Record 3
The following is a DFT calculation (PBE) of crystalline Sr2ZrPt at its relaxed geometry.

a b c (Å): 3.7693 3.8227 9.6969
angles (deg): 78.60 90.00 90.00
Last column: nearest neighbours and their distance in Å.
Element x y z (fractional)
Sr (0.0000, 0.8464, 0.9318)  2 Pt 3.21
Zr (0.0000, 0.5147, 0.5949)  4 Pt 2.75
Pt (0.5000, 0.9826, 0.6586)  4 Zr 2.75
Sr (0.5000, 0.1563, 0.3148)  1 Pt 3.27

Output
crystal system = monoclinic
M_tot = 0.0 Bohr magnetons per cell
formation energy from the elements = -0.349 eV/atom
final energy = -4.84 eV/atom
symmetry = Pm, No. 6
N(E_F) = 3.52 states/eV/cell


Record 4
The following is a DFT calculation (PBE) of crystalline Sr2ZrPt at its relaxed geometry.

a b c (Å): 6.7927 6.7927 5.7368
angles (deg): 64.98 64.98 32.03
Last column: nearest neighbours and their distance in Å.
Element x y z (fractional)
Sr (0.7544, 0.7544, 0.7456)  4 Pt 3.44, 2 Zr 3.58-3.59, 4 Sr 3.67-3.75
Zr (0.5708, 0.5708, 0.4291)  2 Pt 2.60
Pt (0.2251, 0.2251, 0.2751)  2 Zr 2.60
Sr (0.9497, 0.9497, 0.0503)  2 Pt 3.23

Output
crystal system = orthorhombic
M_tot = 0.0 Bohr magnetons per cell
formation energy from the elements = -0.220 eV/atom
final energy = -4.71 eV/atom
symmetry = Imm2, No. 44
N(E_F) = 4.77 states/eV/cell


Record 5
The following is a DFT calculation (PBE) of crystalline Sr2ZrPt at its relaxed geometry.

a b c (Å): 11.0089 11.0089 8.2018
angles (deg): 47.85 47.85 90.00
Last column: nearest neighbours and their distance in Å.
Element x y z (fractional)
Zr (0.5000, 0.5000, 0.0000)  2 Pt 2.58
Sr (0.8750, 0.0185, 0.7500)  2 Pt 3.06
Pt (0.0000, 0.0000, 0.0000)  2 Zr 2.58
Sr (0.9815, 0.6250, 0.2500)  2 Pt 3.06
Pt (0.7500, 0.2500, 0.5000)  2 Zr 2.58
Sr (0.3750, 0.2315, 0.7500)  2 Pt 3.06
Zr (0.2500, 0.7500, 0.5000)  2 Pt 2.58
Sr (0.7685, 0.1250, 0.2500)  2 Pt 3.06

Output
crystal system = tetragonal
M_tot = 2.0 Bohr magnetons per cell
formation energy from the elements = 0.012 eV/atom
final energy = -4.48 eV/atom
symmetry = I-42d, No. 122
N(E_F) = 6.50 states/eV/cell


Record 6
The following is a DFT calculation (PBE) of crystalline SrZrPt4 at its relaxed geometry.

a b c (Å): 5.4404 5.4404 5.4404
angles (deg): 60.00 60.00 60.00
Last column: nearest neighbours and their distance in Å.
Element x y z (fractional)
Pt (0.3750, 0.3750, 0.3750)  6 Pt 2.72
Pt (0.3750, 0.8750, 0.3750)  6 Pt 2.72
Pt (0.3750, 0.3750, 0.8750)  6 Pt 2.72
Pt (0.8750, 0.3750, 0.3750)  6 Pt 2.72
Sr (0.7500, 0.7500, 0.7500)  12 Pt 3.19, 4 Zr 3.33
Zr (0.0000, 0.0000, 0.0000)  12 Pt 3.19, 4 Sr 3.33

Output
crystal system = cubic
M_tot = 0.0 Bohr magnetons per cell
formation energy from the elements = -0.715 eV/atom
final energy = -6.45 eV/atom
symmetry = F-43m, No. 216
N(E_F) = 1.68 states/eV/cell


Record 7
The following is a DFT calculation (PBE) of crystalline Sr2ZrPt at its relaxed geometry.

a b c (Å): 5.2775 5.2775 5.2775
angles (deg): 60.00 60.00 60.00
Last column: nearest neighbours and their distance in Å.
Element x y z (fractional)
Zr (0.7500, 0.7500, 0.7500)  4 Sr 3.23, 4 Pt 3.23
Sr (0.0000, 0.0000, 0.0000)  4 Zr 3.23, 4 Sr 3.23
Pt (0.5000, 0.5000, 0.5000)  4 Sr 3.23, 4 Zr 3.23
Sr (0.2500, 0.2500, 0.2500)  4 Sr 3.23, 4 Pt 3.23

Output
crystal system = cubic
M_tot = 0.4 Bohr magnetons per cell
formation energy from the elements = 0.193 eV/atom
final energy = -4.30 eV/atom
symmetry = F-43m, No. 216
N(E_F) = 3.67 states/eV/cell


Record 8
The following is a DFT calculation (PBE) of crystalline Sr2ZrPt at its relaxed geometry.

a b c (Å): 5.3334 4.4430 4.4430
angles (deg): 90.00 90.00 90.00
Last column: nearest neighbours and their distance in Å.
Element x y z (fractional)
Sr (0.0000, 0.0000, 0.0000)  4 Sr 3.14, 4 Zr 3.47, 4 Pt 3.47
Pt (0.5000, 0.0000, 0.5000)  4 Zr 3.14, 8 Sr 3.47
Zr (0.5000, 0.5000, 0.0000)  4 Pt 3.14, 8 Sr 3.47
Sr (0.0000, 0.5000, 0.5000)  4 Sr 3.14, 4 Zr 3.47, 4 Pt 3.47

Output
crystal system = tetragonal
M_tot = 0.0 Bohr magnetons per cell
formation energy from the elements = 0.161 eV/atom
final energy = -4.33 eV/atom
symmetry = P4/mmm, No. 123
N(E_F) = 3.72 states/eV/cell


Record 9
The following is a DFT calculation (PBE) of crystalline Sr2ZrPt at its relaxed geometry.

a b c (Å): 9.5499 9.5499 4.1412
angles (deg): 77.52 77.52 21.97
Last column: nearest neighbours and their distance in Å.
Element x y z (fractional)
Sr (0.9045, 0.9045, 0.0963)  2 Pt 3.36, 2 Zr 3.50, 2 Sr 3.64
Zr (0.7500, 0.7500, 0.7500)  4 Pt 2.76
Sr (0.5955, 0.5955, 0.4037)  2 Pt 3.36, 2 Zr 3.50, 2 Sr 3.64
Pt (0.2500, 0.2500, 0.2500)  4 Zr 2.76

Output
crystal system = orthorhombic
M_tot = 1.2 Bohr magnetons per cell
formation energy from the elements = -0.255 eV/atom
final energy = -4.74 eV/atom
symmetry = Immm, No. 71
N(E_F) = 5.29 states/eV/cell


Record 10
The following is a DFT calculation (PBE) of crystalline Sr2ZrPt at its relaxed geometry.

a b c (Å): 6.2139 6.2139 6.2139
angles (deg): 136.65 136.65 62.98
Last column: nearest neighbours and their distance in Å.
Element x y z (fractional)
Sr (0.0000, 0.0000, 0.0000)  4 Zr 3.25, 4 Sr 3.51, 4 Pt 3.51
Zr (0.5000, 0.5000, 0.0000)  8 Sr 3.25-3.51, 4 Pt 3.51
Pt (0.7500, 0.2500, 0.5000)  8 Sr 3.25-3.51, 4 Zr 3.51
Sr (0.2500, 0.7500, 0.5000)  4 Pt 3.25, 4 Sr 3.51, 4 Zr 3.51

Output
crystal system = tetragonal
M_tot = 2.0 Bohr magnetons per cell
formation energy from the elements = 0.255 eV/atom
final energy = -4.23 eV/atom
symmetry = I-4m2, No. 119
N(E_F) = 4.61 states/eV/cell


Record 11
The following is a DFT calculation (PBE) of crystalline Sr2ZrPt at its relaxed geometry.

a b c (Å): 6.2367 6.2367 6.2367
angles (deg): 138.60 138.60 59.99
Last column: nearest neighbours and their distance in Å.
Element x y z (fractional)
Sr (0.5000, 0.5000, 0.0000)  4 Sr 3.12, 4 Zr 3.49, 4 Pt 3.49
Zr (0.2500, 0.7500, 0.5000)  4 Pt 3.12, 8 Sr 3.49
Sr (0.0000, 0.0000, 0.0000)  4 Sr 3.12, 4 Pt 3.49, 4 Zr 3.49
Pt (0.7500, 0.2500, 0.5000)  4 Zr 3.12, 8 Sr 3.49

Output
crystal system = tetragonal
M_tot = 0.0 Bohr magnetons per cell
formation energy from the elements = 0.173 eV/atom
final energy = -4.31 eV/atom
symmetry = I4/mmm, No. 139
N(E_F) = 4.80 states/eV/cell


Record 12
The following is a DFT calculation (PBE) of crystalline Sr2ZrPt at its relaxed geometry.

a b c (Å): 3.5457 3.5468 10.1677
angles (deg): 69.54 90.00 90.00
Last column: nearest neighbours and their distance in Å.
Element x y z (fractional)
Sr (0.0000, 0.0546, 0.9454)  4 Pt 3.12
Zr (0.5000, 0.2500, 0.2500)  4 Zr 3.55, 8 Sr 3.83-3.84
Sr (0.0000, 0.4454, 0.5546)  4 Pt 3.12
Pt (0.5000, 0.7500, 0.7500)  8 Sr 3.12

Output
crystal system = tetragonal
M_tot = 1.6 Bohr magnetons per cell
formation energy from the elements = -0.016 eV/atom
final energy = -4.50 eV/atom
symmetry = P4/mmm, No. 123
N(E_F) = 4.18 states/eV/cell


Record 13
The following is a DFT calculation (PBE) of crystalline TaPt3 at its relaxed geometry.

a b c (Å): 2.9207 4.5294 4.8694
angles (deg): 90.00 90.00 90.00
Last column: nearest neighbours and their distance in Å.
Element x y z (fractional)
Pt (0.5000, 0.5000, 0.8346)  8 Pt 2.79-2.92, 4 Ta 2.81-2.87
Ta (0.0000, 0.5000, 0.3275)  10 Pt 2.76-2.87, 2 Ta 2.92
Pt (0.5000, 0.0000, 0.5004)  8 Pt 2.79-2.92, 4 Ta 2.82
Pt (0.0000, 0.0000, 0.0042)  2 Ta 2.76, 10 Pt 2.82-2.92

Output
crystal system = orthorhombic
M_tot = 0.0 Bohr magnetons per cell
formation energy from the elements = -0.506 eV/atom
final energy = -8.00 eV/atom
symmetry = Pmm2, No. 25
N(E_F) = 3.08 states/eV/cell